First-principles (PBE) data for a relaxed TcAsH2 crystal, as listed in Alexandria.

Lattice parameters (Å, degrees): 3.068 4.700 5.857 68.57 90.00 90.00
Fractional positions:
Tc: 0.750 0.309 0.362
Tc: 0.250 0.691 0.638
As: 0.750 0.775 0.957
As: 0.250 0.225 0.043
H: 0.750 0.897 0.435
H: 0.250 0.103 0.565
H: 0.750 0.446 0.644
H: 0.250 0.554 0.356

Values from the calculation:
DOS at the Fermi energy in states/eV per atom: 0.40
Electronic total energy in eV per cell: -42.91



First-principles (PBE) data for a relaxed CuW2 crystal, as listed in Alexandria.

Lattice parameters (Å, degrees): 5.292 5.292 8.334 90.00 90.00 60.00
Fractional positions:
Cu: 0.667 0.667 0.080
Cu: 0.333 0.333 0.580
Cu: 0.333 0.333 0.920
Cu: 0.667 0.667 0.420
W: 0.000 0.000 0.000
W: 0.000 0.000 0.500
W: 0.171 0.658 0.250
W: 0.829 0.342 0.750
W: 0.171 0.171 0.250
W: 0.658 0.171 0.250
W: 0.342 0.829 0.750
W: 0.829 0.829 0.750

Values from the calculation:
DOS at the Fermi energy in states/eV per atom: 0.98
Calculated formation energy in eV per atom: 0.85
Electronic total energy in eV per cell: -109.75



First-principles (PBE) data for a relaxed Na2TeMoW crystal, as listed in Alexandria.

Lattice parameters (Å, degrees): 5.828 5.112 5.828 90.00 90.00 90.00
Each line ends with the local moment (μB).
Fractional positions:
Na: 0.000 0.000 0.500  0.00
Na: 0.500 0.000 0.000  0.02
Mo: 0.000 0.000 0.000  2.42
Te: 0.000 0.500 0.000  -0.06
W: 0.500 0.500 0.500  3.52

Values from the calculation:
DOS at the Fermi energy in states/eV per atom: 1.13
Electronic total energy in eV per cell: -19.96
Uncorrected formation energy in eV per atom: 1.9207



First-principles (PBE) data for a relaxed BeAgAs2Br crystal, as listed in Alexandria.

Lattice parameters (Å, degrees): 4.207 4.207 7.850 90.00 90.00 90.00
Fractional positions:
Be: 0.000 0.000 0.000
As: 0.000 0.500 0.000
As: 0.500 0.000 0.000
Br: 0.000 0.000 0.500
Ag: 0.500 0.500 0.500

Values from the calculation:
DOS at the Fermi energy in states/eV per atom: 0.21
Electronic total energy in eV per cell: -15.54
Uncorrected formation energy in eV per atom: 0.4020



First-principles (PBE) data for a relaxed TiMo7 crystal, as listed in Alexandria.

Lattice parameters (Å, degrees): 6.323 6.323 6.323 90.11 90.11 89.89
Fractional positions:
Ti: 0.873 0.873 0.127
Ti: 0.127 0.127 0.873
Mo: 0.624 0.624 0.376
Mo: 0.624 0.125 0.376
Mo: 0.125 0.624 0.376
Mo: 0.125 0.125 0.375
Mo: 0.875 0.375 0.125
Mo: 0.375 0.875 0.125
Mo: 0.376 0.376 0.125
Mo: 0.624 0.624 0.875
Mo: 0.625 0.125 0.875
Mo: 0.125 0.625 0.875
Mo: 0.875 0.875 0.625
Mo: 0.875 0.376 0.624
Mo: 0.376 0.875 0.624
Mo: 0.376 0.376 0.624

Values from the calculation:
DOS at the Fermi energy in states/eV per atom: 0.67
Calculated formation energy in eV per atom: -0.10
Electronic total energy in eV per cell: -169.01



First-principles (PBE) data for a relaxed LaSbTe2W crystal, as listed in Alexandria.

Lattice parameters (Å, degrees): 5.426 5.426 5.205 90.00 90.00 90.00
Each line ends with the local moment (μB).
Fractional positions:
Sb: 0.000 0.000 0.500  -0.03
Te: 0.000 0.500 0.000  0.01
Te: 0.500 0.000 0.000  0.01
W: 0.000 0.000 0.000  0.70
La: 0.500 0.500 0.500  0.08

Values from the calculation:
DOS at the Fermi energy in states/eV per atom: 1.08
Electronic total energy in eV per cell: -28.01
Uncorrected formation energy in eV per atom: 0.0556



First-principles (PBE) data for a relaxed Ba6Tl5Hg crystal, as listed in Alexandria.

Lattice parameters (Å, degrees): 6.039 8.612 9.558 90.00 71.88 90.00
Fractional positions:
Tl: 0.666 0.500 0.668
Tl: 0.329 0.000 0.342
Tl: 0.000 0.500 0.000
Tl: 0.671 0.000 0.658
Tl: 0.334 0.500 0.332
Ba: 0.835 0.750 0.330
Ba: 0.835 0.250 0.330
Ba: 0.500 0.246 0.000
Ba: 0.500 0.754 0.000
Ba: 0.165 0.750 0.670
Ba: 0.165 0.250 0.670
Hg: 0.000 0.000 0.000

Values from the calculation:
DOS at the Fermi energy in states/eV per atom: 0.73
Calculated formation energy in eV per atom: -0.43
Electronic total energy in eV per cell: -28.78



First-principles (PBE) data for a relaxed PmTiRu2 crystal, as listed in Alexandria.

Lattice parameters (Å, degrees): 4.646 4.646 4.646 60.00 60.00 60.00
Fractional positions:
Ru: 0.250 0.250 0.250
Ru: 0.750 0.750 0.750
Ti: 0.500 0.500 0.500
Pm: 0.000 0.000 0.000

Values from the calculation:
DOS at the Fermi energy in states/eV per atom: 0.79
Calculated formation energy in eV per atom: -0.25
Electronic total energy in eV per cell: -32.18



First-principles (PBE) data for a relaxed La2MoAu2 crystal, as listed in Alexandria.

Lattice parameters (Å, degrees): 7.432 7.432 4.539 90.00 90.00 90.00
Fractional positions:
Mo: 0.000 0.000 0.000
Mo: 0.500 0.500 0.000
Au: 0.365 0.865 0.000
Au: 0.865 0.635 0.000
Au: 0.635 0.135 0.000
Au: 0.135 0.365 0.000
La: 0.177 0.677 0.500
La: 0.677 0.823 0.500
La: 0.823 0.323 0.500
La: 0.323 0.177 0.500

Values from the calculation:
DOS at the Fermi energy in states/eV per atom: 1.76
Calculated formation energy in eV per atom: -0.09
Electronic total energy in eV per cell: -55.40



First-principles (PBE) data for a relaxed SrGaPbSe2 crystal, as listed in Alexandria.

Lattice parameters (Å, degrees): 5.621 6.051 5.621 90.00 90.00 90.00
Fractional positions:
Pb: 0.000 0.000 0.000
Sr: 0.000 0.500 0.000
Ga: 0.500 0.500 0.500
Se: 0.000 0.000 0.500
Se: 0.500 0.000 0.000

Values from the calculation:
DOS at the Fermi energy in states/eV per atom: 0.95
Electronic total energy in eV per cell: -14.61
Uncorrected formation energy in eV per atom: 0.1553



First-principles (PBE) data for a relaxed SrAl2 crystal, as listed in Alexandria.

Lattice parameters (Å, degrees): 7.211 7.211 6.796 61.85 61.85 32.25
Fractional positions:
Al: 0.972 0.972 0.101
Al: 0.362 0.362 0.416
Al: 0.582 0.582 0.195
Al: 0.972 0.972 0.510
Sr: 0.643 0.643 0.634
Sr: 0.301 0.301 0.977

Values from the calculation:
DOS at the Fermi energy in states/eV per atom: 0.35
Calculated formation energy in eV per atom: -0.17
Electronic total energy in eV per cell: -19.36



First-principles (PBE) data for a relaxed Mg3AgP crystal, as listed in Alexandria.

Lattice parameters (Å, degrees): 4.876 4.876 4.876 90.00 90.00 90.00
Fractional positions:
P: 0.000 0.000 0.000
Mg: 0.000 0.500 0.000
Mg: 0.000 0.000 0.500
Mg: 0.500 0.000 0.000
Ag: 0.500 0.500 0.500

Values from the calculation:
DOS at the Fermi energy in states/eV per atom: 0.38
Calculated formation energy in eV per atom: -0.02
Electronic total energy in eV per cell: -13.16



First-principles (PBE) data for a relaxed SrMoW crystal, as listed in Alexandria.

Lattice parameters (Å, degrees): 4.833 4.833 4.833 60.00 60.00 60.00
Each line ends with the local moment (μB).
Fractional positions:
Mo: 0.500 0.500 0.500  2.56
Sr: 0.750 0.750 0.750  -0.02
W: 0.000 0.000 0.000  -2.21

Values from the calculation:
DOS at the Fermi energy in states/eV per atom: 1.27
Calculated formation energy in eV per atom: 2.82
Electronic total energy in eV per cell: -17.02



First-principles (PBE) data for a relaxed La2HoEr2Hg5 crystal, as listed in Alexandria.

Lattice parameters (Å, degrees): 3.852 12.152 12.152 90.00 90.00 90.00
Each line ends with the local moment (μB).
Fractional positions:
La: 0.000 0.669 0.169  -0.17
La: 0.000 0.331 0.831  -0.17
La: 0.000 0.169 0.331  -0.17
La: 0.000 0.831 0.669  -0.17
Ho: 0.000 0.000 0.000  0.01
Ho: 0.000 0.500 0.500  0.01
Er: 0.000 0.133 0.633  -0.04
Er: 0.000 0.867 0.367  -0.04
Er: 0.000 0.633 0.867  -0.04
Er: 0.000 0.367 0.133  -0.04
Hg: 0.500 0.175 0.093  0.00
Hg: 0.500 0.825 0.907  0.00
Hg: 0.500 0.093 0.825  0.00
Hg: 0.500 0.675 0.407  0.00
Hg: 0.500 0.907 0.175  0.00
Hg: 0.500 0.325 0.593  0.00
Hg: 0.500 0.593 0.675  0.00
Hg: 0.500 0.407 0.325  0.00
Hg: 0.500 0.500 0.000  -0.01
Hg: 0.500 0.000 0.500  -0.01

Values from the calculation:
DOS at the Fermi energy in states/eV per atom: 0.72
Calculated formation energy in eV per atom: -0.36
Electronic total energy in eV per cell: -57.28



First-principles (PBE) data for a relaxed PuTh2UAs4 crystal, as listed in Alexandria.

Lattice parameters (Å, degrees): 4.183 7.262 7.261 109.35 90.00 90.00
Each line ends with the local moment (μB).
Fractional positions:
Pu: 0.000 0.000 0.000  5.21
Th: 0.500 0.000 0.500  0.04
Th: 0.000 0.500 0.500  0.04
U: 0.500 0.500 0.000  2.26
As: 0.500 0.250 0.241  -0.05
As: 0.500 0.750 0.759  -0.05
As: 0.000 0.255 0.760  -0.04
As: 0.000 0.745 0.240  -0.04

Values from the calculation:
DOS at the Fermi energy in states/eV per atom: 2.30
Calculated formation energy in eV per atom: -1.15
Electronic total energy in eV per cell: -68.23



First-principles (PBE) data for a relaxed LaPmPr2Sm5 crystal, as listed in Alexandria.

Lattice parameters (Å, degrees): 8.879 8.879 10.174 115.87 115.87 90.00
Fractional positions:
La: 0.250 0.250 0.500
La: 0.750 0.750 0.500
Pm: 0.250 0.750 0.500
Pm: 0.750 0.250 0.500
Pr: 0.119 0.381 0.000
Pr: 0.619 0.119 0.000
Pr: 0.381 0.881 0.000
Pr: 0.881 0.619 0.000
Sm: 0.931 0.431 0.275
Sm: 0.655 0.155 0.725
Sm: 0.069 0.569 0.725
Sm: 0.155 0.069 0.725
Sm: 0.569 0.655 0.725
Sm: 0.845 0.931 0.275
Sm: 0.431 0.345 0.275
Sm: 0.345 0.845 0.275
Sm: 0.500 0.500 0.000
Sm: 0.000 0.000 0.000

Values from the calculation:
DOS at the Fermi energy in states/eV per atom: 1.32
Calculated formation energy in eV per atom: 0.24
Electronic total energy in eV per cell: -81.30



First-principles (PBE) data for a relaxed Rb2TlCuO2 crystal, as listed in Alexandria.

Lattice parameters (Å, degrees): 4.476 5.201 12.153 90.00 90.00 90.00
Fractional positions:
Rb: 0.500 0.154 0.259
Rb: 0.000 0.654 0.241
Rb: 0.500 0.846 0.741
Rb: 0.000 0.346 0.759
Tl: 0.500 0.500 0.000
Tl: 0.000 0.000 0.500
Cu: 0.000 0.000 0.000
Cu: 0.500 0.500 0.500
O: 0.500 0.697 0.377
O: 0.500 0.303 0.623
O: 0.000 0.803 0.877
O: 0.000 0.197 0.123

Values from the calculation:
DOS at the Fermi energy in states/eV per atom: 0.02
Electronic total energy in eV per cell: -45.91
Uncorrected formation energy in eV per atom: -0.7733



First-principles (PBE) data for a relaxed Ca2HfTa crystal, as listed in Alexandria.

Lattice parameters (Å, degrees): 5.291 5.291 5.291 60.00 60.00 60.00
Each line ends with the local moment (μB).
Fractional positions:
Ca: 0.250 0.250 0.250  0.04
Ca: 0.750 0.750 0.750  0.04
Hf: 0.000 0.000 0.000  -0.16
Ta: 0.500 0.500 0.500  0.95

Values from the calculation:
DOS at the Fermi energy in states/eV per atom: 1.61
Calculated formation energy in eV per atom: 1.03
Electronic total energy in eV per cell: -21.67



First-principles (PBE) data for a relaxed Sm2SeF crystal, as listed in Alexandria.

Lattice parameters (Å, degrees): 3.986 3.986 8.394 76.27 76.27 60.00
Fractional positions:
Se: 0.500 0.500 0.500
Sm: 0.092 0.092 0.723
Sm: 0.908 0.908 0.277
F: 0.000 0.000 0.000

Values from the calculation:
DOS at the Fermi energy in states/eV per atom: 0.40
Electronic total energy in eV per cell: -22.79
Uncorrected formation energy in eV per atom: -1.9987



First-principles (PBE) data for a relaxed La3Sm5I12 crystal, as listed in Alexandria.

Lattice parameters (Å, degrees): 16.136 16.136 16.136 109.47 109.47 109.47
Fractional positions:
La: 0.750 0.375 0.125
La: 0.875 0.750 0.125
La: 0.375 0.750 0.625
La: 0.250 0.125 0.375
La: 0.875 0.125 0.250
La: 0.375 0.625 0.250
La: 0.625 0.375 0.750
La: 0.125 0.875 0.750
La: 0.750 0.875 0.625
La: 0.625 0.250 0.375
La: 0.125 0.250 0.875
La: 0.250 0.625 0.875
Sm: 0.125 0.375 0.250
Sm: 0.000 0.500 0.000
Sm: 0.000 0.000 0.000
Sm: 0.375 0.250 0.125
Sm: 0.500 0.000 0.500
Sm: 0.500 0.500 0.000
Sm: 0.125 0.750 0.375
Sm: 0.750 0.125 0.875
Sm: 0.750 0.625 0.375
Sm: 0.375 0.125 0.750
Sm: 0.625 0.875 0.250
Sm: 0.500 0.500 0.500
Sm: 0.500 0.000 0.000
Sm: 0.000 0.000 0.500
Sm: 0.250 0.375 0.625
Sm: 0.250 0.875 0.125
Sm: 0.000 0.500 0.500
Sm: 0.875 0.250 0.625
Sm: 0.625 0.750 0.875
Sm: 0.875 0.625 0.750
I: 0.723 0.133 0.054
I: 0.331 0.554 0.421
I: 0.946 0.367 0.277
I: 0.554 0.223 0.133
I: 0.590 0.723 0.669
I: 0.946 0.579 0.169
I: 0.331 0.777 0.410
I: 0.079 0.910 0.133
I: 0.579 0.946 0.669
I: 0.723 0.590 0.169
I: 0.777 0.446 0.367
I: 0.831 0.921 0.054
I: 0.133 0.723 0.554
I: 0.367 0.421 0.090
I: 0.090 0.921 0.367
I: 0.410 0.133 0.579
I: 0.090 0.169 0.223
I: 0.446 0.669 0.079
I: 0.831 0.910 0.277
I: 0.133 0.410 0.079
I: 0.367 0.946 0.777
I: 0.579 0.633 0.410
I: 0.921 0.831 0.554
I: 0.777 0.331 0.910
I: 0.421 0.367 0.590
I: 0.079 0.169 0.446
I: 0.223 0.669 0.090
I: 0.169 0.090 0.723
I: 0.633 0.054 0.223
I: 0.867 0.590 0.921
I: 0.554 0.331 0.921
I: 0.590 0.867 0.421
I: 0.910 0.831 0.777
I: 0.910 0.079 0.633
I: 0.867 0.277 0.446
I: 0.169 0.079 0.946
I: 0.633 0.579 0.910
I: 0.421 0.054 0.331
I: 0.277 0.410 0.831
I: 0.223 0.554 0.633
I: 0.921 0.090 0.867
I: 0.669 0.223 0.590
I: 0.446 0.777 0.867
I: 0.054 0.421 0.831
I: 0.410 0.277 0.331
I: 0.054 0.633 0.723
I: 0.669 0.446 0.579
I: 0.277 0.867 0.946

Values from the calculation:
DOS at the Fermi energy in states/eV per atom: 1.36
Electronic total energy in eV per cell: -288.07
Uncorrected formation energy in eV per atom: -0.7519